Entry from Alexandria: crystalline KLa2Zn at its relaxed geometry (GGA-PBE).

The space group is Imm2 (No. 44) and the conventional cell measures 3.850, 5.714 and 12.847 Å, with angles of 90.00, 90.00 and 90.00 degrees. The distinct sites, in fractional coordinates, are K at (0.000, 0.000, 0.000), La at (0.000, 0.000, 0.397), La at (0.000, 0.500, 0.200) and Zn at (0.000, 0.500, 0.715).

The crystal system is orthorhombic. Its energy above the most stable polymorph in this dataset is 0.89 eV per formula unit. The calculation puts the energy of formation from the pure elements at 0.95 eV/f.u.

Entry from Alexandria: crystalline Cs4PuI5 at its relaxed geometry (GGA-PBE).

The space group is I4 (No. 79) and the conventional cell measures 11.925, 11.925 and 7.944 Å, with angles of 90.00, 90.00 and 90.00 degrees. The distinct sites, in fractional coordinates, are Cs at (0.091, 0.704, 0.000), Pu at (0.000, 0.000, 0.497), I at (0.000, 0.000, 0.903) and I at (0.088, 0.733, 0.496).

The crystal system is tetragonal. The value obtained for the uncorrected formation energy is -1.212 eV/atom.

Entry from Alexandria: crystalline Sr2NdF8 at its relaxed geometry (GGA-PBE).

The space group is Immm (No. 71) and the conventional cell measures 4.176, 5.794 and 12.778 Å, with angles of 90.00, 90.00 and 90.00 degrees. The distinct sites, in fractional coordinates, are Sr at (0.000, 0.000, 0.179), Nd at (0.000, 0.000, 0.500), F at (0.000, 0.261, 0.359), F at (0.000, 0.262, 0.000) and F at (0.000, 0.500, 0.189).

The crystal system is orthorhombic. The value obtained for the uncorrected formation energy is -3.557 eV/atom.

Entry from Alexandria: crystalline NaSmCu2Cl8 at its relaxed geometry (GGA-PBE).

The space group is I-4 (No. 82) and the conventional cell measures 6.463, 6.463 and 13.688 Å, with angles of 90.00, 90.00 and 90.00 degrees. The distinct sites, in fractional coordinates, are Na at (0.000, 0.000, 0.000), Sm at (0.000, 0.500, 0.250), Cu at (0.000, 0.000, 0.500), Cu at (0.000, 0.500, 0.750), Cl at (0.152, 0.277, 0.425) and Cl at (0.167, 0.774, 0.818).

The crystal system is tetragonal. The value obtained for the uncorrected formation energy is -1.229 eV/atom.

Entry from Alexandria: crystalline PaPd2Au2 at its relaxed geometry (GGA-PBE).

The space group is C2/m (No. 12) and the conventional cell measures 9.138, 4.208 and 6.498 Å, with angles of 90.00, 131.12 and 90.00 degrees. The distinct sites, in fractional coordinates, are Pa at (0.000, 0.000, 0.000), Pd at (0.098, 0.500, 0.802) and Au at (0.200, 0.000, 0.608).

The crystal system is monoclinic. Its energy above the most stable polymorph in this dataset is 0.00 eV per formula unit. The calculation puts the energy of formation from the pure elements at -2.50 eV/f.u.

Entry from Alexandria: crystalline Y5Ho2Tm3 at its relaxed geometry (GGA-PBE).

The space group is C2/c (No. 15) and the conventional cell measures 10.655, 15.847 and 9.369 Å, with angles of 90.00, 124.60 and 90.00 degrees. The distinct sites, in fractional coordinates, are Y at (0.000, 0.031, 0.250), Y at (0.000, 0.230, 0.250), Y at (0.000, 0.269, 0.750), Y at (0.246, 0.110, 0.742), Ho at (0.145, 0.382, 0.545), Tm at (0.000, 0.469, 0.750) and Tm at (0.152, 0.118, 0.048).

The crystal system is monoclinic. Its energy above the most stable polymorph in this dataset is 0.00 eV per formula unit. The calculation puts the energy of formation from the pure elements at 1.93 eV/f.u.

Entry from Alexandria: crystalline Mg5Pd at its relaxed geometry (GGA-PBE).

The space group is P4/mmm (No. 123) and the conventional cell measures 3.306, 3.306 and 11.194 Å, with angles of 90.00, 90.00 and 90.00 degrees. The distinct sites, in fractional coordinates, are Mg at (0.000, 0.000, 0.000), Mg at (0.000, 0.000, 0.369), Mg at (0.500, 0.500, 0.185) and Pd at (0.500, 0.500, 0.500).

The crystal system is tetragonal. The calculation puts the energy of formation from the pure elements at -1.56 eV/f.u.

Entry from Alexandria: crystalline LiGeRhO4 at its relaxed geometry (GGA-PBE).

The space group is Cmcm (No. 63) and the conventional cell measures 5.519, 8.727 and 6.257 Å, with angles of 90.00, 90.00 and 90.00 degrees. The distinct sites, in fractional coordinates, are Li at (0.000, 0.160, 0.250), Ge at (0.000, 0.162, 0.750), Rh at (0.000, 0.500, 0.000), O at (0.000, 0.265, 0.512) and O at (0.247, 0.015, 0.750).

The crystal system is orthorhombic. Its energy above the most stable polymorph in this dataset is 0.95 eV per formula unit. The value obtained for the uncorrected formation energy is -1.357 eV/atom.

Entry from Alexandria: crystalline Pm3Sm4Cu4 at its relaxed geometry (GGA-PBE).

The space group is Immm (No. 71) and the conventional cell measures 4.914, 7.490 and 15.443 Å, with angles of 90.00, 90.00 and 90.00 degrees. The distinct sites, in fractional coordinates, are Pm at (0.000, 0.000, 0.000), Pm at (0.000, 0.500, 0.102), Sm at (0.000, 0.280, 0.329), Cu at (0.000, 0.000, 0.201) and Cu at (0.000, 0.165, 0.500).

The crystal system is orthorhombic. The calculation puts the energy of formation from the pure elements at -0.60 eV/f.u.

Entry from Alexandria: crystalline Y3Zr at its relaxed geometry (GGA-PBE).

The space group is Pm-3m (No. 221) and the conventional cell measures 4.892, 4.892 and 4.892 Å, with angles of 90.00, 90.00 and 90.00 degrees. The distinct sites, in fractional coordinates, are Y at (0.000, 0.000, 0.500) and Zr at (0.500, 0.500, 0.500).

The crystal system is cubic. Its energy above the most stable polymorph in this dataset is 0.14 eV per formula unit. The calculation puts the energy of formation from the pure elements at 0.43 eV/f.u.

Entry from Alexandria: crystalline Pm7Nd12Tm at its relaxed geometry (GGA-PBE).

The space group is R-3 (No. 148, hexagonal axes) and the conventional cell measures 18.9449, 18.9449 and 6.9292 Å, with angles of 90.00, 90.00 and 120.00 degrees. The distinct sites, in fractional coordinates, are Pm at (0.0000, 0.0000, 0.0000), Pm at (0.0059, 0.1549, 0.2786), Nd at (0.9999, 0.2134, 0.7882), Nd at (0.0070, 0.5372, 0.2414) and Tm at (0.0000, 0.0000, 0.5000).

The crystal system is trigonal. Its energy above the most stable polymorph in this dataset is 1.00 eV per formula unit. The calculation puts the energy of formation from the pure elements at 5.38 eV/f.u.

Entry from Alexandria: crystalline TeN2Cl at its relaxed geometry (GGA-PBE).

The space group is R-3m (No. 166, hexagonal axes) and the conventional cell measures 3.5080, 3.5080 and 19.7117 Å, with angles of 90.00, 90.00 and 120.00 degrees. The distinct sites, in fractional coordinates, are Te at (0.0000, 0.0000, 0.0000), N at (0.0000, 0.0000, 0.1030) and Cl at (0.0000, 0.0000, 0.5000).

The crystal system is trigonal. Its energy above the most stable polymorph in this dataset is 8.49 eV per formula unit. The value obtained for the uncorrected formation energy is 2.049 eV/atom.

Entry from Alexandria: crystalline CeReOs at its relaxed geometry (GGA-PBE).

The space group is Imma (No. 74) and the conventional cell measures 5.123, 5.747 and 7.690 Å, with angles of 90.00, 90.00 and 90.00 degrees. The distinct sites, in fractional coordinates, are Ce at (0.000, 0.250, 0.128), Re at (0.250, 0.250, 0.750) and Os at (0.000, 0.000, 0.500).

The crystal system is orthorhombic. Its energy above the most stable polymorph in this dataset is 0.00 eV per formula unit. The calculation puts the energy of formation from the pure elements at -0.53 eV/f.u.

Entry from Alexandria: crystalline Li4LaPd2 at its relaxed geometry (GGA-PBE).

The space group is Cmmm (No. 65) and the conventional cell measures 3.974, 16.714 and 4.081 Å, with angles of 90.00, 90.00 and 90.00 degrees. The distinct sites, in fractional coordinates, are Li at (0.000, 0.178, 0.000), Li at (0.000, 0.314, 0.500), La at (0.000, 0.500, 0.000) and Pd at (0.000, 0.082, 0.500).

The crystal system is orthorhombic. Its energy above the most stable polymorph in this dataset is 0.03 eV per formula unit. The calculation puts the energy of formation from the pure elements at -2.89 eV/f.u.

Entry from Alexandria: crystalline CaYCd2 at its relaxed geometry (GGA-PBE).

The space group is R-3m (No. 166, hexagonal axes) and the conventional cell measures 3.7498, 3.7498 and 29.2806 Å, with angles of 90.00, 90.00 and 120.00 degrees. The distinct sites, in fractional coordinates, are Ca at (0.0000, 0.0000, 0.0000), Y at (0.0000, 0.0000, 0.5000) and Cd at (0.0000, 0.0000, 0.2481).

The crystal system is trigonal. The calculation puts the energy of formation from the pure elements at -0.62 eV/f.u.

Entry from Alexandria: crystalline PrCdAg5 at its relaxed geometry (GGA-PBE).

The space group is Pnma (No. 62) and the conventional cell measures 9.062, 5.698 and 11.462 Å, with angles of 90.00, 90.00 and 90.00 degrees. The distinct sites, in fractional coordinates, are Pr at (0.243, 0.250, 0.062), Cd at (0.142, 0.750, 0.854), Ag at (0.064, 0.008, 0.308), Ag at (0.065, 0.750, 0.090), Ag at (0.099, 0.250, 0.519) and Ag at (0.185, 0.250, 0.759).

The crystal system is orthorhombic. The calculation puts the energy of formation from the pure elements at -1.12 eV/f.u.

Entry from Alexandria: crystalline PrScBe at its relaxed geometry (GGA-PBE).

The space group is I4mm (No. 107) and the conventional cell measures 3.426, 3.426 and 11.771 Å, with angles of 90.00, 90.00 and 90.00 degrees. The distinct sites, in fractional coordinates, are Pr at (0.000, 0.000, 0.000), Sc at (0.000, 0.000, 0.273) and Be at (0.000, 0.000, 0.668).

The crystal system is tetragonal. The calculation puts the energy of formation from the pure elements at 0.36 eV/f.u.

Entry from Alexandria: crystalline MgSbRh at its relaxed geometry (GGA-PBE).

The space group is P-6m2 (No. 187) and the conventional cell measures 4.5157, 4.5157 and 3.2624 Å, with angles of 90.00, 90.00 and 120.00 degrees. The distinct sites, in fractional coordinates, are Mg at (0.0000, 0.0000, 0.0000), Sb at (0.3333, 0.6667, 0.5000) and Rh at (0.6667, 0.3333, 0.5000).

The crystal system is hexagonal. The value obtained for the uncorrected formation energy is -0.346 eV/atom.

Entry from Alexandria: crystalline Cu3H12Pt5 at its relaxed geometry (GGA-PBE).

The space group is Ia-3d (No. 230) and the conventional cell measures 11.104, 11.104 and 11.104 Å, with angles of 90.00, 90.00 and 90.00 degrees. The distinct sites, in fractional coordinates, are Cu at (0.000, 0.250, 0.125), H at (0.009, 0.048, 0.655), Pt at (0.000, 0.000, 0.000) and Pt at (0.000, 0.250, 0.375).

The crystal system is cubic. As for the raw total energy: -638.42 eV for the cell shown.

Entry from Alexandria: crystalline ZrCuTe2 at its relaxed geometry (GGA-PBE).

The space group is I-4m2 (No. 119) and the conventional cell measures 4.103, 4.103 and 10.606 Å, with angles of 90.00, 90.00 and 90.00 degrees. The distinct sites, in fractional coordinates, are Zr at (0.000, 0.000, 0.000), Cu at (0.000, 0.500, 0.750), Te at (0.000, 0.000, 0.500) and Te at (0.000, 0.500, 0.250).

The crystal system is tetragonal. The value obtained for the uncorrected formation energy is -0.143 eV/atom.

| no. | total magnetic moment (μB per atom) |
| --- | --- |
| 1 | 0.0004 |
| 2 | 0.6692 |
| 3 | 0.0984 |
| 4 | 0.1728 |
| 5 | 0.0000 |
| 6 | 0.0000 |
| 7 | 0.0000 |
| 8 | 0.0000 |
| 9 | 0.0000 |
| 10 | 0.0000 |
| 11 | 0.0000 |
| 12 | 0.0000 |
| 13 | 0.0000 |
| 14 | 0.0000 |
| 15 | 0.0000 |
| 16 | 0.0000 |
| 17 | 0.0001 |
| 18 | 0.0000 |
| 19 | 0.0000 |
| 20 | 0.0000 |